! NdSmAs PBE optimized geometry; values from VASP
&SYSTEM
  ibrav = 0, nat = 6, ntyp = 3
/
ATOMIC_SPECIES
Nd 144.24 Nd.upf
Sm 150.36 Sm.upf
As 74.92 As.upf
ATOMIC_POSITIONS crystal
Nd 0.166 0.834 0.750
Nd 0.834 0.166 0.250
Sm 0.500 0.500 0.000
Sm 0.500 0.500 0.500
As 0.168 0.832 0.250
As 0.832 0.168 0.750
CELL_PARAMETERS angstrom
2.669 -4.584 0.000
2.669 4.584 0.000
0.000 0.000 6.382
! DOS at the Fermi energy = 8.58 states/eV/cell
! ΔE_f = -709 meV per atom